(1)
A plane-wave DFT calculation with PBE-GGA was carried out for an optimized crystal structure of Sc2CuSb.

uncorrected energy = -5.22 eV/atom
spin magnetization = 0.5 μB/cell
space-group type = F-43m, No. 216

a b c (Å): 4.8727 4.8727 4.8727
angles (deg): 60.00 60.00 60.00
Fractional coordinates of all 4 atoms:
Sc  0.0000  0.0000  0.0000
Sc  0.2500  0.2500  0.2500
Cu  0.7500  0.7500  0.7500
Sb  0.5000  0.5000  0.5000

=====

(2)
A plane-wave DFT calculation with PBE-GGA was carried out for an optimized crystal structure of ScCuSb.

uncorrected energy = -5.10 eV/atom
spin magnetization = 0.0 μB/cell
space-group type = Fmm2, No. 42

a b c (Å): 5.8490 5.6996 3.3937
angles (deg): 75.34 70.52 34.15
Fractional coordinates of all 3 atoms:
Sc  0.0000  0.0000  0.0000
Cu  0.6507  0.6507  0.3493
Sb  0.3033  0.3033  0.6967